# 1
Computed, not measured: a geometry-optimized MgAlOs2 structure at the PBE-GGA level of DFT.

## Properties
For the total energy, the calculation gives -27.5 eV per cell. The space group is No. 123. For the theoretical density, the calculation gives 12.5 g/cm3.

Unit cell a=4.340 b=4.340 c=3.055 alpha=90.00 beta=90.00 gamma=90.00
Sites, in units of the cell vectors:
Mg 0.000 0.000 0.000
Al 0.500 0.500 0.000
Os 0.000 0.500 0.500
Os 0.500 0.000 0.500

# 2
Computed, not measured: a geometry-optimized MgAl11Os structure at the PBE-GGA level of DFT.

## Properties
For the total energy, the calculation gives -54.8 eV per cell. The space group is No. 12. For the theoretical density, the calculation gives 3.9 g/cm3.

Unit cell a=6.976 b=6.976 c=6.921 alpha=97.64 beta=97.64 gamma=135.80
Sites, in units of the cell vectors:
Mg 0.000 0.000 0.000
Al 0.000 0.000 0.500
Al 0.000 0.500 0.000
Al 0.012 0.354 0.358
Al 0.293 0.504 0.784
Al 0.354 0.012 0.358
Al 0.496 0.707 0.216
Al 0.500 0.000 0.000
Al 0.504 0.293 0.784
Al 0.646 0.988 0.642
Al 0.707 0.496 0.216
Al 0.988 0.646 0.642
Os 0.500 0.500 0.500